Entry 1:
Compound: Li4ZnAu
Source: Alexandria via LeMat-Bulk
Functional: PBE-GGA
Structure: relaxed

Cell: 4.9718 4.9718 4.9718 Å, 60.00 60.00 60.00°
Atoms (fractional coordinates):
Li1 0.3757 0.3757 0.3757
Li2 0.3757 0.3757 0.8729
Li3 0.3757 0.8729 0.3757
Li4 0.8729 0.3757 0.3757
Zn1 0.0000 0.0000 0.0000
Au1 0.7500 0.7500 0.7500

energy of formation	-0.122	eV per atom
ΔE to the lowest computed polymorph	181	meV/atom
calculated volume	86.9	Å³ per cell

Entry 2:
Compound: LiMn2Cl
Source: Alexandria via LeMat-Bulk
Functional: PBE-GGA
Structure: relaxed

Cell: 3.5434 3.7367 5.5810 Å, 90.00 90.00 90.00°
Atoms (fractional coordinates):
Li1 0.0000 0.0000 0.0000
Mn1 0.0000 0.5000 0.5000
Mn2 0.5000 0.0000 0.5000
Cl1 0.5000 0.5000 0.0000

ΔE to the lowest computed polymorph	335	meV/atom
uncorrected formation energy	0.14	eV/atom
calculated volume	73.9	Å³ per cell

Entry 3:
Compound: PuU6S8
Source: Alexandria via LeMat-Bulk
Functional: PBE-GGA
Structure: relaxed

Cell: 7.7145 7.7145 7.7145 Å, 60.00 60.00 60.00°
Atoms (fractional coordinates):
Pu1 0.0000 0.0000 0.0000
U1 0.0000 0.0000 0.5000
U2 0.0000 0.5000 0.0000
U3 0.0000 0.5000 0.5000
U4 0.5000 0.0000 0.0000
U5 0.5000 0.0000 0.5000
U6 0.5000 0.5000 0.0000
S1 0.2500 0.2500 0.2500
S2 0.2551 0.2551 0.7449
S3 0.2551 0.7449 0.2551
S4 0.2551 0.7449 0.7449
S5 0.7449 0.2551 0.2551
S6 0.7449 0.2551 0.7449
S7 0.7449 0.7449 0.2551
S8 0.7500 0.7500 0.7500

ΔE to the lowest computed polymorph	0	meV/atom
uncorrected formation energy	-1.43	eV/atom
calculated volume	324.6	Å³ per cell

Entry 4:
Compound: Fe3Ni4
Source: Alexandria via LeMat-Bulk
Functional: PBE-GGA
Structure: relaxed

Cell: 9.0741 9.0741 9.0741 Å, 164.12 157.37 27.77°
Atoms (fractional coordinates):
Fe1 0.0000 0.0000 0.0000
Fe2 0.1438 0.1438 0.0000
Fe3 0.8562 0.8562 0.0000
Ni1 0.2862 0.2862 0.0000
Ni2 0.4290 0.4290 0.0000
Ni3 0.5710 0.5710 0.0000
Ni4 0.7138 0.7138 0.0000

energy of formation	-0.060	eV per atom
ΔE to the lowest computed polymorph	0	meV/atom
calculated volume	78.6	Å³ per cell

Entry 5:
Compound: RbNa2MgAg
Source: Alexandria via LeMat-Bulk
Functional: PBE-GGA
Structure: relaxed

Cell: 5.8539 5.8539 5.4975 Å, 90.00 90.00 90.00°
Atoms (fractional coordinates):
Rb1 0.0000 0.0000 0.0000
Na1 0.0000 0.5000 0.5000
Na2 0.5000 0.0000 0.5000
Mg1 0.5000 0.5000 0.0000
Ag1 0.5000 0.5000 0.5000

energy of formation	0.068	eV per atom
calculated volume	188.4	Å³ per cell

Entry 6:
Compound: LaTb2Ag
Source: Alexandria via LeMat-Bulk
Functional: PBE-GGA
Structure: relaxed

Cell: 3.6769 3.6769 8.7076 Å, 90.00 90.00 90.00°
Atoms (fractional coordinates):
La1 0.0000 0.0000 0.0000
Tb1 0.5000 0.5000 0.2946
Tb2 0.5000 0.5000 0.7054
Ag1 0.0000 0.0000 0.5000

energy of formation	-0.124	eV per atom
ΔE to the lowest computed polymorph	0	meV/atom
calculated volume	117.7	Å³ per cell

Entry 7:
Compound: Tl2BiAu2
Source: Alexandria via LeMat-Bulk
Functional: PBE-GGA
Structure: relaxed

Cell: 4.5652 4.5723 8.2885 Å, 74.05 74.23 60.09°
Atoms (fractional coordinates):
Tl1 0.2172 0.2140 0.3522
Tl2 0.7828 0.7860 0.6478
Bi1 0.0000 0.0000 0.0000
Au1 0.3900 0.3918 0.8280
Au2 0.6100 0.6082 0.1720

energy of formation	-0.036	eV per atom
ΔE to the lowest computed polymorph	0	meV/atom
calculated volume	142.3	Å³ per cell

Entry 8:
Compound: NpCu2Br6
Source: Alexandria via LeMat-Bulk
Functional: PBE-GGA
Structure: relaxed

Cell: 9.4051 9.4051 7.1540 Å, 96.02 96.02 79.39°
Atoms (fractional coordinates):
Np1 0.1011 0.8989 0.7500
Np2 0.8989 0.1011 0.2500
Cu1 0.3319 0.4687 0.7181
Cu2 0.4687 0.3319 0.2181
Cu3 0.5313 0.6681 0.7819
Cu4 0.6681 0.5313 0.2819
Br1 0.0395 0.1810 0.6078
Br2 0.1311 0.6230 0.8684
Br3 0.1810 0.0395 0.1078
Br4 0.2880 0.4757 0.3882
Br5 0.3770 0.8689 0.6316
Br6 0.4757 0.2880 0.8882
Br7 0.5243 0.7120 0.1118
Br8 0.6230 0.1311 0.3684
Br9 0.7120 0.5243 0.6118
Br10 0.8190 0.9605 0.8922
Br11 0.8689 0.3770 0.1316
Br12 0.9605 0.8190 0.3922

ΔE to the lowest computed polymorph	67	meV/atom
uncorrected formation energy	-0.77	eV/atom
calculated volume	616.2	Å³ per cell

Entry 9:
Compound: Pm2HfPb
Source: Alexandria via LeMat-Bulk
Functional: PBE-GGA
Structure: relaxed

Cell: 12.1042 12.1042 12.1042 Å, 16.37 16.37 16.37°
Atoms (fractional coordinates):
Pm1 0.0925 0.0925 0.0925
Pm2 0.9075 0.9075 0.9075
Hf1 0.5000 0.5000 0.5000
Pb1 0.0000 0.0000 0.0000

energy of formation	0.139	eV per atom
ΔE to the lowest computed polymorph	237	meV/atom
calculated volume	122.8	Å³ per cell

Entry 10:
Compound: ZrZnCr
Source: Alexandria via LeMat-Bulk
Functional: PBE-GGA
Structure: relaxed

Cell: 6.6595 6.5374 2.8228 Å, 80.08 75.24 24.68°
Atoms (fractional coordinates):
Zr1 0.0000 0.0000 0.0000
Zn1 0.3132 0.3132 0.6868
Cr1 0.6658 0.6658 0.3342

energy of formation	0.268	eV per atom
calculated volume	49.1	Å³ per cell

Entry 11:
Compound: LiMgSn2H
Source: Alexandria via LeMat-Bulk
Functional: PBE-GGA
Structure: relaxed

Cell: 4.9819 4.9819 3.8278 Å, 90.00 90.00 90.00°
Atoms (fractional coordinates):
Li1 0.0000 0.0000 0.0000
Mg1 0.5000 0.5000 0.0000
Sn1 0.0000 0.5000 0.5000
Sn2 0.5000 0.0000 0.5000
H1 0.0000 0.0000 0.5000

total DFT energy (no corrections)	-2.9922	eV per atom
calculated volume	95.0	Å³ per cell

Entry 12:
Compound: Rb2Hf3TlSe8
Source: Alexandria via LeMat-Bulk
Functional: PBE-GGA
Structure: relaxed

Cell: 9.7383 9.7383 9.7383 Å, 47.32 47.32 47.32°
Atoms (fractional coordinates):
Rb1 0.0000 0.0000 0.0000
Rb2 0.3494 0.3494 0.3494
Hf1 0.4938 0.9954 0.9954
Hf2 0.9954 0.4938 0.9954
Hf3 0.9954 0.9954 0.4938
Tl1 0.6217 0.6217 0.6217
Se1 0.1969 0.7352 0.7352
Se2 0.2216 0.2216 0.2216
Se3 0.2671 0.2671 0.7843
Se4 0.2671 0.7843 0.2671
Se5 0.7352 0.1969 0.7352
Se6 0.7352 0.7352 0.1969
Se7 0.7694 0.7694 0.7694
Se8 0.7843 0.2671 0.2671

uncorrected formation energy	-1.12	eV/atom
calculated volume	456.6	Å³ per cell

Entry 13:
Compound: NaHfBi2
Source: Alexandria via LeMat-Bulk
Functional: PBE-GGA
Structure: relaxed

Cell: 11.1110 11.1110 11.1110 Å, 18.45 18.45 18.45°
Atoms (fractional coordinates):
Na1 0.0000 0.0000 0.0000
Hf1 0.5000 0.5000 0.5000
Bi1 0.0968 0.0968 0.0968
Bi2 0.9032 0.9032 0.9032

energy of formation	-0.060	eV per atom
ΔE to the lowest computed polymorph	120	meV/atom
calculated volume	120.0	Å³ per cell

Entry 14:
Compound: K4RbSb4
Source: Alexandria via LeMat-Bulk
Functional: PBE-GGA
Structure: relaxed

Cell: 11.1860 11.1860 7.0627 Å, 90.00 90.00 90.00°
Atoms (fractional coordinates):
K1 0.0890 0.6456 0.1095
K2 0.1456 0.9110 0.6095
K3 0.3544 0.5890 0.6095
K4 0.4110 0.8544 0.1095
K5 0.5890 0.1456 0.8905
K6 0.6456 0.4110 0.3905
K7 0.8544 0.0890 0.3905
K8 0.9110 0.3544 0.8905
Rb1 0.2500 0.2500 0.2500
Rb2 0.7500 0.7500 0.7500
Sb1 0.0309 0.5982 0.6072
Sb2 0.0982 0.9691 0.1072
Sb3 0.4018 0.5309 0.1072
Sb4 0.4691 0.9018 0.6072
Sb5 0.5309 0.0982 0.3928
Sb6 0.5982 0.4691 0.8928
Sb7 0.9018 0.0309 0.8928
Sb8 0.9691 0.4018 0.3928

uncorrected formation energy	-0.28	eV/atom
calculated volume	883.7	Å³ per cell

Entry 15:
Compound: Si2Bi2Mo
Source: Alexandria via LeMat-Bulk
Functional: PBE-GGA
Structure: relaxed

Cell: 7.5754 7.5754 7.5754 Å, 147.17 147.17 47.12°
Atoms (fractional coordinates):
Si1 0.0809 0.0809 0.0000
Si2 0.9191 0.9191 0.0000
Bi1 0.2500 0.7500 0.5000
Bi2 0.7500 0.2500 0.5000
Mo1 0.5000 0.5000 0.0000

ΔE to the lowest computed polymorph	704	meV/atom
uncorrected formation energy	1.17	eV/atom
calculated volume	127.3	Å³ per cell

Entry 16:
Compound: La6Si2PBr3
Source: Alexandria via LeMat-Bulk
Functional: PBE-GGA
Structure: relaxed

Cell: 7.4923 7.4923 7.8486 Å, 99.15 99.15 120.01°
Atoms (fractional coordinates):
La1 0.0704 0.4007 0.2119
La2 0.2595 0.2595 0.7879
La3 0.4007 0.0704 0.2119
La4 0.5993 0.9296 0.7881
La5 0.7405 0.7405 0.2121
La6 0.9296 0.5993 0.7881
Si1 0.3335 0.6665 0.0000
Si2 0.6665 0.3335 0.0000
P1 0.0000 0.0000 0.0000
Br1 0.1685 0.8315 0.5000
Br2 0.5000 0.5000 0.5000
Br3 0.8315 0.1685 0.5000

uncorrected formation energy	-1.31	eV/atom
calculated volume	361.7	Å³ per cell

Entry 17:
Compound: KBi3N
Source: Alexandria via LeMat-Bulk
Functional: PBE-GGA
Structure: relaxed

Cell: 5.1322 5.1322 5.1322 Å, 90.00 90.00 90.00°
Atoms (fractional coordinates):
K1 0.0000 0.0000 0.0000
Bi1 0.0000 0.5000 0.5000
Bi2 0.5000 0.0000 0.5000
Bi3 0.5000 0.5000 0.0000
N1 0.5000 0.5000 0.5000

ΔE to the lowest computed polymorph	0	meV/atom
uncorrected formation energy	0.41	eV/atom
calculated volume	135.2	Å³ per cell

Entry 18:
Compound: ZnIn2As
Source: Alexandria via LeMat-Bulk
Functional: PBE-GGA
Structure: relaxed

Cell: 5.3631 5.3631 5.3631 Å, 128.89 128.89 75.18°
Atoms (fractional coordinates):
Zn1 0.0000 0.0000 0.0000
In1 0.5000 0.5000 0.0000
In2 0.7500 0.2500 0.5000
As1 0.2500 0.7500 0.5000

energy of formation	0.171	eV per atom
ΔE to the lowest computed polymorph	129	meV/atom
calculated volume	91.0	Å³ per cell

Entry 19:
Compound: TbPr2DyY5
Source: Alexandria via LeMat-Bulk
Functional: PBE-GGA
Structure: relaxed

Cell: 10.0153 10.0153 10.0153 Å, 128.72 128.72 75.46°
Atoms (fractional coordinates):
Tb1 0.2500 0.7500 0.5000
Tb2 0.7500 0.2500 0.5000
Pr1 0.1184 0.6184 0.7367
Pr2 0.3816 0.1184 0.5000
Pr3 0.6184 0.8816 0.5000
Pr4 0.8816 0.3816 0.2633
Dy1 0.2500 0.2500 0.0000
Dy2 0.7500 0.7500 0.0000
Y1 0.0000 0.0000 0.0000
Y2 0.0710 0.1486 0.5000
Y3 0.1486 0.6486 0.0776
Y4 0.3514 0.4290 0.5000
Y5 0.4290 0.9290 0.0776
Y6 0.5000 0.5000 0.0000
Y7 0.5710 0.0710 0.9224
Y8 0.6486 0.5710 0.5000
Y9 0.8514 0.3514 0.9224
Y10 0.9290 0.8514 0.5000

energy of formation	0.253	eV per atom
calculated volume	595.0	Å³ per cell

Entry 20:
Compound: TeRhCl2
Source: Alexandria via LeMat-Bulk
Functional: PBE-GGA
Structure: relaxed

Cell: 3.1158 3.1158 10.7943 Å, 90.00 90.00 90.00°
Atoms (fractional coordinates):
Te1 0.0000 0.0000 0.0000
Rh1 0.0000 0.0000 0.5000
Cl1 0.5000 0.5000 0.3539
Cl2 0.5000 0.5000 0.6461

ΔE to the lowest computed polymorph	600	meV/atom
uncorrected formation energy	0.19	eV/atom
calculated volume	104.8	Å³ per cell